[1]
This record from Alexandria describes a relaxed ErLuO crystal. The functional is PBE-GGA.

```
3
Lattice="3.4467 0.0000 0.0000 -1.7233 2.9849 0.0000 0.0000 0.0000 5.6093" Properties=species:S:1:pos:R:3 pbc="T T T"
O 1.7233 0.9950 1.9085
Er 0.0000 0.0000 0.5010
Lu 0.0000 1.9899 3.1998
```

Computed properties:
formation energy from raw total energies = -42.0 kcal/mol of atoms
DFT total energy = -6.501 eV per atom

---

[2]
This record from Alexandria describes a relaxed Ca2CdPd2Au5 crystal. The functional is PBE-GGA.

```
20
Lattice="4.2587 0.0000 0.0000 0.0000 9.7671 0.0000 0.0000 0.0000 9.7671" Properties=species:S:1:pos:R:3 pbc="T T T"
Ca 0.0000 8.0892 6.5615
Ca 0.0000 1.6780 3.2056
Ca 0.0000 3.2056 8.0892
Ca 0.0000 6.5615 1.6780
Pd 0.0000 3.6502 1.2334
Pd 0.0000 8.5337 3.6502
Pd 0.0000 6.1169 8.5337
Pd 0.0000 1.2334 6.1169
Cd 0.0000 4.8836 4.8836
Cd 0.0000 0.0000 0.0000
Au 2.1293 0.0000 4.8836
Au 2.1293 1.9757 0.6336
Au 2.1293 5.5172 6.8592
Au 2.1293 2.9079 5.5172
Au 2.1293 4.2500 2.9079
Au 2.1293 6.8592 4.2500
Au 2.1293 4.8836 0.0000
Au 2.1293 7.7915 9.1335
Au 2.1293 0.6336 7.7915
Au 2.1293 9.1335 1.9757
```

Computed properties:
DFT total energy = -3.697 eV per atom
ΔH_f (0 K) = -0.5278 eV per atom

---

[3]
This record from Alexandria describes a relaxed TbLuPu crystal. The functional is PBE-GGA.

```
3
Lattice="-2.5497 -0.5457 -2.2899 1.5839 -2.8949 -1.0738 -3.2000 -2.1589 6.7070" Properties=species:S:1:pos:R:3 pbc="T T T"
Tb -4.1525 -5.5855 3.3252
Pu -2.4467 -2.5771 3.3384
Lu -1.7323 -3.0363 0.0229
```

Computed properties:
DFT total energy = -7.723 eV per atom
excess energy over the best structure of this formula in the dataset = 0.0 meV/atom
ΔH_f (0 K) = 0.1047 eV per atom

---

[4]
This record from Alexandria describes a relaxed SmCd2IrO6 crystal. The functional is PBE-GGA.

```
20
Lattice="5.6912 0.0000 -0.0183 0.0000 5.7650 0.0000 0.0232 0.0000 8.1766" Properties=species:S:1:pos:R:3 pbc="T T T"
O 3.4867 0.3913 2.2207
O 1.1898 0.9698 3.6537
O 1.6673 3.8523 0.4255
O 5.0616 3.2738 1.8401
O 0.6527 2.4912 6.3182
O 2.2276 5.3737 5.9376
O 3.7713 1.6639 4.6324
O 1.9430 4.1011 3.5259
O 0.9142 1.2186 0.5532
O 4.5245 4.7952 4.5046
O 4.0470 1.9127 7.7328
O 4.8001 4.5464 7.6051
Ir 0.0000 2.8825 0.0000
Ir 2.8572 0.0000 4.0792
Sm 2.8456 0.0000 -0.0092
Sm 0.0116 2.8825 4.0883
Cd 0.0216 5.5346 2.0854
Cd 5.6927 0.2304 6.0729
Cd 2.8356 2.6521 1.9937
Cd 2.8788 3.1129 6.1646
```

Computed properties:
formation energy from raw total energies = -34.1 kcal/mol of atoms
DFT total energy = -5.996 eV per atom

---

[5]
This record from Alexandria describes a relaxed YMnAg2B crystal. The functional is PBE-GGA.

```
5
Lattice="4.4144 0.0000 0.0000 0.0000 4.8976 0.0000 0.0000 0.0000 4.4144" Properties=species:S:1:pos:R:3 pbc="T T T"
Y 0.0000 2.4488 0.0000
B 0.0000 0.0000 0.0000
Ag 2.2072 0.0000 0.0000
Ag 0.0000 0.0000 2.2072
Mn 2.2072 2.4488 2.2072
```

Computed properties:
DFT total energy = -5.166 eV per atom
ΔH_f (0 K) = 0.4364 eV per atom

---

[6]
This record from Alexandria describes a relaxed TbCu2Ni9 crystal. The functional is PBE-GGA.

```
12
Lattice="4.7844 0.0000 0.0000 2.3922 4.1435 0.0000 2.3922 1.3812 7.7067" Properties=species:S:1:pos:R:3 pbc="T T T"
Tb 0.0000 0.0000 0.0000
Ni 5.9990 3.4635 5.7059
Ni 3.5699 3.4635 5.7059
Ni 3.5699 2.0611 2.0008
Ni 4.7845 2.7623 0.0197
Ni 4.7844 1.3598 5.7059
Ni 4.7844 2.7623 3.8534
Ni 5.9990 2.0611 2.0008
Ni 4.7844 4.1648 2.0008
Ni 4.7844 2.7623 7.6870
Cu 2.3922 1.3812 4.3009
Cu 7.1767 4.1435 3.4058
```

Computed properties:
DFT total energy = -5.467 eV per atom
excess energy over the best structure of this formula in the dataset = 70.2 meV/atom
ΔH_f (0 K) = -0.0624 eV per atom

---

[7]
This record from Alexandria describes a relaxed Cs2ReSeF6 crystal. The functional is PBE-GGA.

```
10
Lattice="-0.8641 -5.7936 -3.4894 5.3006 1.6047 -3.9770 5.4532 -4.5717 -0.4212" Properties=species:S:1:pos:R:3 pbc="T T T"
Re 0.0000 0.0000 0.0000
F 4.2345 -3.6384 -1.6690
F 0.3998 -4.2768 -3.5894
F 3.5270 -3.3301 -5.9357
F 4.0368 0.0880 -3.8770
F 5.6553 -5.1221 -6.2186
F 0.9095 -0.8588 -1.5307
Cs 6.4861 -2.5307 -4.0657
Cs 3.4037 -6.2298 -3.8219
Se 2.2183 -2.0944 -3.7332
```

Computed properties:
formation energy from raw total energies = -45.6 kcal/mol of atoms
DFT total energy = -4.863 eV per atom

---

[8]
This record from Alexandria describes a relaxed CaMg4Te2 crystal. The functional is PBE-GGA.

```
7
Lattice="-3.8360 4.4195 0.8973 -3.0402 -3.4044 3.7707 0.9125 3.0969 8.1797" Properties=species:S:1:pos:R:3 pbc="T T T"
Mg -1.5201 -1.7022 1.8854
Mg -1.9180 2.2097 0.4486
Mg -0.8993 2.0185 5.7452
Mg -5.0644 2.0934 7.1025
Te -3.5019 3.0233 9.2019
Te -2.4618 1.0886 3.6458
Ca 0.0000 0.0000 0.0000
```

Computed properties:
formation energy from raw total energies = 7.5 kcal/mol of atoms
DFT total energy = -1.769 eV per atom

---

[9]
This record from Alexandria describes a relaxed Rb2BaSn2Se4 crystal. The functional is PBE-GGA.

```
9
Lattice="-2.8688 -1.5373 -2.8870 7.0796 -6.5305 -0.2794 -6.0742 -0.9100 6.5206" Properties=species:S:1:pos:R:3 pbc="T T T"
Se 0.6605 -3.0249 0.9544
Se -5.6460 -2.2034 3.5056
Se 3.7826 -6.7745 -0.1514
Se -2.5240 -5.9530 2.3998
Sn 0.4868 -3.6724 -1.8064
Sn -2.3502 -5.3054 5.1605
Ba 0.0000 0.0000 0.0000
Rb 0.1203 -6.7389 0.1907
Rb -1.9837 -2.2389 3.1635
```

Computed properties:
formation energy from raw total energies = -24.5 kcal/mol of atoms
DFT total energy = -3.927 eV per atom

---

[10]
This record from Alexandria describes a relaxed KNiP2Cl crystal. The functional is PBE-GGA.

```
5
Lattice="-2.4419 -0.5368 -3.3923 2.6458 -2.9479 -1.4381 -4.5126 -6.1063 4.2147" Properties=species:S:1:pos:R:3 pbc="T T T"
K -2.1543 -4.7955 -0.3078
Ni 0.0000 0.0000 0.0000
Cl -2.2563 -3.0531 2.1073
P 1.3229 -1.4739 -0.7190
P -1.2209 -0.2684 -1.6961
```

Computed properties:
formation energy from raw total energies = -7.1 kcal/mol of atoms
DFT total energy = -4.218 eV per atom
excess energy over the best structure of this formula in the dataset = 0.0 meV/atom

---

[11]
This record from Alexandria describes a relaxed SrZn2Sn2O7 crystal. The functional is PBE-GGA.

```
12
Lattice="4.0628 0.0001 -0.0001 0.0001 4.2185 0.0000 -2.0316 -2.1093 9.0564" Properties=species:S:1:pos:R:3 pbc="T T T"
O 2.0302 0.0013 2.1610
O -0.0005 2.1257 1.9025
O 2.0314 1.9412 0.0000
O -0.0002 -0.0007 4.8962
O 0.0011 2.1100 6.8952
O 2.0317 0.0159 7.1537
O 2.0316 2.1089 4.1600
Sn 0.0004 0.0102 7.0267
Sn 2.0309 2.1201 2.0296
Sr 0.0000 0.1087 0.0001
Zn 2.0311 0.0018 4.2369
Zn 0.0003 2.1108 4.8194
```

Computed properties:
formation energy from raw total energies = -39.3 kcal/mol of atoms
DFT total energy = -5.615 eV per atom

---

[12]
This record from Alexandria describes a relaxed TlInBrCl2 crystal. The functional is PBE-GGA.

```
5
Lattice="5.3958 0.0000 0.0000 0.0000 5.3958 0.0000 0.0000 0.0000 5.7233" Properties=species:S:1:pos:R:3 pbc="T T T"
Cl 2.6979 0.0000 0.0000
Cl 0.0000 2.6979 0.0000
Br 0.0000 0.0000 2.8616
In 0.0000 0.0000 0.0000
Tl 2.6979 2.6979 2.8616
```

Computed properties:
formation energy from raw total energies = -20.2 kcal/mol of atoms
DFT total energy = -2.971 eV per atom

---

[13]
This record from Alexandria describes a relaxed LiAlHg crystal. The functional is PBE-GGA.

```
3
Lattice="-4.4148 -0.7321 -1.0690 2.1797 -2.8671 2.8632 -0.8872 1.7723 2.4502" Properties=species:S:1:pos:R:3 pbc="T T T"
Hg -2.3641 -1.1492 0.6490
Al -0.1485 0.2966 0.4100
Li -0.6097 -0.9743 3.1854
```

Computed properties:
DFT total energy = -2.146 eV per atom
excess energy over the best structure of this formula in the dataset = 0.0 meV/atom
ΔH_f (0 K) = -0.1597 eV per atom

---

[14]
This record from Alexandria describes a relaxed BeGa3 crystal. The functional is PBE-GGA.

```
4
Lattice="2.8067 0.0000 0.0000 0.0000 2.7824 0.0000 0.0000 0.0000 8.1964" Properties=species:S:1:pos:R:3 pbc="T T T"
Ga 0.0000 1.3912 3.8090
Ga 1.4034 1.3912 1.3460
Ga 1.4034 0.0000 5.9721
Be 0.0000 0.0000 7.9979
```

Computed properties:
DFT total energy = -3.041 eV per atom
excess energy over the best structure of this formula in the dataset = 4.4 meV/atom
ΔH_f (0 K) = 0.1606 eV per atom

---

[15]
This record from Alexandria describes a relaxed KRb2ZnIn crystal. The functional is PBE-GGA.

```
5
Lattice="6.9601 0.0000 0.0000 0.0000 6.9601 0.0000 0.0000 0.0000 5.4183" Properties=species:S:1:pos:R:3 pbc="T T T"
Zn 0.0000 0.0000 0.0000
Rb 3.4801 0.0000 0.0000
Rb 0.0000 3.4801 0.0000
K 3.4801 3.4801 2.7091
In 0.0000 0.0000 2.7091
```

Computed properties:
DFT total energy = -1.313 eV per atom
ΔH_f (0 K) = 0.0964 eV per atom

---

[16]
This record from Alexandria describes a relaxed PmCrS2 crystal. The functional is PBE-GGA.

```
4
Lattice="-1.1805 -2.6648 2.1706 1.6783 -0.6497 3.1571 -4.7509 4.0699 5.4546" Properties=species:S:1:pos:R:3 pbc="T T T"
S -1.1959 -1.5319 6.5950
S -3.0572 2.2874 4.1874
Pm 0.0000 0.0000 0.0000
Cr -2.1266 0.3777 5.3912
```

Computed properties:
formation energy from raw total energies = -16.7 kcal/mol of atoms
DFT total energy = -6.382 eV per atom

---

[17]
This record from Alexandria describes a relaxed Zn2CrSnN4 crystal. The functional is PBE-GGA.

```
8
Lattice="4.6806 0.1943 0.0000 -0.1946 4.6806 0.0000 -2.2430 -2.4374 4.6342" Properties=species:S:1:pos:R:3 pbc="T T T"
N 1.0180 1.1063 3.5246
N 3.3492 1.4195 1.1103
N -1.0180 -1.1063 3.5246
N 1.1368 3.4554 1.1103
Cr 2.2430 2.4374 0.0002
Zn -0.0973 2.3403 2.3175
Zn 2.3403 0.0972 2.3175
Sn 0.0000 0.0000 0.0005
```

Computed properties:
formation energy from raw total energies = -0.8 kcal/mol of atoms
DFT total energy = -6.221 eV per atom

---

[18]
This record from Alexandria describes a relaxed CsTl2H2 crystal. The functional is PBE-GGA.

```
5
Lattice="-2.7464 0.4905 -3.2465 3.1450 -0.8226 -2.7848 -1.4130 -7.2998 -2.7295" Properties=species:S:1:pos:R:3 pbc="T T T"
Cs 0.0000 0.0000 0.0000
H 0.9657 -4.1442 -4.2650
H -1.9800 -3.4877 -4.4958
Tl -0.3754 -2.7090 -2.9136
Tl -0.6389 -4.9229 -5.8471
```

Computed properties:
DFT total energy = -2.265 eV per atom

---

[19]
This record from Alexandria describes a relaxed NaSr2NdTe4 crystal. The functional is PBE-GGA.

```
8
Lattice="-2.4765 -3.0146 -2.5550 6.2283 -0.8338 -5.0533 0.6436 -5.4639 5.8231" Properties=species:S:1:pos:R:3 pbc="T T T"
Te 4.8556 -1.9460 -2.4104
Te 2.0163 -4.3518 3.1803
Te 3.9738 -6.3134 -0.6588
Te 0.4216 -2.9990 -1.1263
Nd 0.0000 0.0000 0.0000
Sr 3.4360 -3.1489 0.3849
Sr -0.9165 -4.2393 1.6341
Na 1.8759 -1.9242 -3.8041
```

Computed properties:
formation energy from raw total energies = -34.7 kcal/mol of atoms
DFT total energy = -4.259 eV per atom

---

[20]
This record from Alexandria describes a relaxed HfZrTiRh crystal. The functional is PBE-GGA.

```
4
Lattice="-4.2308 -1.7868 -0.3612 0.4102 -0.3129 -3.2572 3.7385 -3.4123 2.4680" Properties=species:S:1:pos:R:3 pbc="T T T"
Ti -1.4063 -2.2800 -1.6275
Hf 1.5614 -3.4667 -1.1398
Zr 0.3883 -0.9476 0.1399
Rh -0.7838 -4.1433 0.2993
```

Computed properties:
DFT total energy = -8.867 eV per atom
ΔH_f (0 K) = -0.4305 eV per atom